Compound: Li2ScMoO6
Source: Alexandria via LeMat-Bulk
Functional: GGA+U
Structure: optimized geometry

abc: 5.297 5.326 7.682
angles: 90.00 90.18 90.00
Fractional coordinates of all 20 atoms:
Sc: 0.000 0.500 0.500
Sc: 0.500 0.000 0.000
O: 0.600 0.056 0.261
O: 0.180 0.154 0.450
O: 0.146 0.172 0.061
O: 0.400 0.944 0.739
O: 0.646 0.328 0.561
O: 0.354 0.672 0.439
O: 0.854 0.828 0.939
O: 0.820 0.846 0.550
O: 0.320 0.654 0.050
O: 0.900 0.556 0.239
O: 0.680 0.346 0.950
O: 0.100 0.444 0.761
Li: 0.974 0.973 0.256
Li: 0.474 0.527 0.756
Li: 0.526 0.473 0.244
Li: 0.026 0.027 0.744
Mo: 0.500 0.000 0.500
Mo: 0.000 0.500 0.000

Summary:
total energy	-6.74	eV/atom
V	10.84	Å³ per atom
space-group type	P2_1/c (14)